# 1
# RbScCdSe3 PBE optimized geometry
# * volume: 27.54 Å³/atom
# * DFT total energy: -4.2839 eV per atom
# * theoretical density: 4.8 g cm⁻³
data_RbScCdSe3
_cell_length_a 17.903
_cell_length_b 4.069
_cell_length_c 9.263
_cell_angle_alpha 90.00
_cell_angle_beta 101.59
_cell_angle_gamma 90.00
_space_group_name_H-M_alt 'C 1 2/m 1'
_space_group_IT_number 12
_space_group_name_Hall '-C 2y'
loop_
_atom_site_label
_atom_site_fract_x
_atom_site_fract_y
_atom_site_fract_z
Rb1 0.149 0.000 0.063
Sc1 0.176 0.000 0.577
Cd1 0.010 0.500 0.718
Se1 0.000 0.000 0.500
Se2 0.000 0.500 0.000
Se3 0.166 0.500 0.766
Se4 0.171 0.500 0.376


# 2
# Zr4Pb2CO PBE optimized geometry
# * volume: 18.56 Å³/atom
# * DFT total energy: -7.8931 eV per atom
# * theoretical density: 9.0 g cm⁻³
data_Zr4Pb2CO
_cell_length_a 3.3969
_cell_length_b 3.3969
_cell_length_c 14.8554
_cell_angle_alpha 90.00
_cell_angle_beta 90.00
_cell_angle_gamma 120.00
_space_group_name_H-M_alt 'P -3 m 1'
_space_group_IT_number 164
_space_group_name_Hall '-P 3 2"'
loop_
_atom_site_label
_atom_site_fract_x
_atom_site_fract_y
_atom_site_fract_z
Zr1 0.3333 0.6667 0.0826
Zr2 0.3333 0.6667 0.4173
Pb1 0.3333 0.6667 0.7482
C1 0.0000 0.0000 0.0000
O1 0.0000 0.0000 0.5000


- What is the formula in the second record?
  Zr4Pb2CO


- DFT total energy of number 2 (Zr4Pb2CO)?
  -7.8931 eV per atom